The following is a DFT calculation (PBE) of crystalline Th2In4Ag3 at its relaxed geometry.

Structure (CIF):
```
data_Th2In4Ag3
_chemical_formula_sum 'Th8 In16 Ag12'
_cell_length_a 6.2550
_cell_length_b 16.4253
_cell_length_c 8.4368
_cell_angle_alpha 90.00
_cell_angle_beta 90.00
_cell_angle_gamma 90.00
_space_group_name_H-M_alt 'C m c e'
_space_group_IT_number 64
_space_group_name_Hall '-C 2ac 2'
loop_
_atom_site_label
_atom_site_fract_x
_atom_site_fract_y
_atom_site_fract_z
Th1 0.0000 0.1064 0.0979
In1 0.0000 0.1768 0.4797
In2 0.2500 0.0599 0.7500
Ag1 0.0000 0.0000 0.5000
Ag2 0.2500 0.2329 0.7500
```

Properties
Theoretical density: 9.56 g/cm3
DFT formation energy: -1.8 eV/f.u.

=====

The following is a DFT calculation (PBE) of crystalline ZnCd2Rh at its relaxed geometry.

Structure (CIF):
```
data_ZnCd2Rh
_chemical_formula_sum 'Zn2 Cd4 Rh2'
_cell_length_a 10.0689
_cell_length_b 3.4674
_cell_length_c 4.4192
_cell_angle_alpha 90.00
_cell_angle_beta 115.34
_cell_angle_gamma 90.00
_space_group_name_H-M_alt 'C 1 m 1'
_space_group_IT_number 8
loop_
_space_group_symop_operation_xyz
'x,y,z'
'x,-y,z'
'x+1/2,y+1/2,z'
'x+1/2,-y+1/2,z'
loop_
_atom_site_label
_atom_site_fract_x
_atom_site_fract_y
_atom_site_fract_z
Zn1 0.0000 0.0000 0.0000
Cd1 0.2404 0.0000 0.7395
Cd2 0.4665 0.0000 0.4655
Rh1 0.2092 0.5000 0.2082
```

Properties
Theoretical density: 9.36 g/cm3
DFT formation energy: -0.5 eV/f.u.

=====

The following is a DFT calculation (PBE) of crystalline YOsCl2 at its relaxed geometry.

Structure (CIF):
```
data_YOsCl2
_chemical_formula_sum 'Y2 Os2 Cl4'
_cell_length_a 3.2514
_cell_length_b 4.1404
_cell_length_c 13.7306
_cell_angle_alpha 90.00
_cell_angle_beta 90.00
_cell_angle_gamma 90.00
_space_group_name_H-M_alt 'I m m 2'
_space_group_IT_number 44
loop_
_space_group_symop_operation_xyz
'x,y,z'
'-x,-y,z'
'-x,y,z'
'x,-y,z'
'x+1/2,y+1/2,z+1/2'
'-x+1/2,-y+1/2,z+1/2'
'-x+1/2,y+1/2,z+1/2'
'x+1/2,-y+1/2,z+1/2'
loop_
_atom_site_label
_atom_site_fract_x
_atom_site_fract_y
_atom_site_fract_z
Y1 0.0000 0.0000 0.0000
Os1 0.0000 0.5000 0.3452
Cl1 0.0000 0.0000 0.5938
Cl2 0.0000 0.5000 0.8468
```

Properties
Theoretical density: 6.29 g/cm3
Excess energy over the best structure of this formula in the dataset: 0.281 eV per atom
Uncorrected formation energy: -0.294 eV/atom

=====

The following is a DFT calculation (PBE) of crystalline HgGeC3 at its relaxed geometry.

Structure (CIF):
```
data_HgGeC3
_chemical_formula_sum 'Hg1 Ge1 C3'
_cell_length_a 4.3478
_cell_length_b 4.3478
_cell_length_c 4.3478
_cell_angle_alpha 90.00
_cell_angle_beta 90.00
_cell_angle_gamma 90.00
_space_group_name_H-M_alt 'P m -3 m'
_space_group_IT_number 221
_space_group_name_Hall '-P 4 2 3'
loop_
_atom_site_label
_atom_site_fract_x
_atom_site_fract_y
_atom_site_fract_z
Hg1 0.0000 0.0000 0.0000
Ge1 0.5000 0.5000 0.5000
C1 0.0000 0.0000 0.5000
```

Properties
Theoretical density: 6.25 g/cm3
Excess energy over the best structure of this formula in the dataset: 0.802 eV per atom
DFT formation energy: 17.4 eV/f.u.

=====

The following is a DFT calculation (PBE) of crystalline AlSe2Br at its relaxed geometry.

Structure (CIF):
```
data_AlSe2Br
_chemical_formula_sum 'Al3 Se6 Br3'
_cell_length_a 2.9341
_cell_length_b 2.9341
_cell_length_c 41.9821
_cell_angle_alpha 90.00
_cell_angle_beta 90.00
_cell_angle_gamma 120.00
_space_group_name_H-M_alt 'R -3 m'
_space_group_IT_number 166
_space_group_name_Hall '-R 3 2"'
loop_
_atom_site_label
_atom_site_fract_x
_atom_site_fract_y
_atom_site_fract_z
Al1 0.0000 0.0000 0.0000
Se1 0.0000 0.0000 0.0614
Br1 0.0000 0.0000 0.5000
```

Properties
Theoretical density: 4.21 g/cm3
Excess energy over the best structure of this formula in the dataset: 0.733 eV per atom
Uncorrected formation energy: 0.158 eV/atom

=====

The following is a DFT calculation (PBE) of crystalline Ba6Sb2TeCl3 at its relaxed geometry.

Structure (CIF):
```
data_Ba6Sb2TeCl3
_chemical_formula_sum 'Ba12 Sb4 Te2 Cl6'
_cell_length_a 20.8274
_cell_length_b 4.9490
_cell_length_c 9.5001
_cell_angle_alpha 90.00
_cell_angle_beta 99.84
_cell_angle_gamma 90.00
_space_group_name_H-M_alt 'C 1 2/m 1'
_space_group_IT_number 12
loop_
_space_group_symop_operation_xyz
'x,y,z'
'-x,-y,-z'
'-x,y,-z'
'x,-y,z'
'x+1/2,y+1/2,z'
'-x+1/2,-y+1/2,-z'
'-x+1/2,y+1/2,-z'
'x+1/2,-y+1/2,z'
loop_
_atom_site_label
_atom_site_fract_x
_atom_site_fract_y
_atom_site_fract_z
Ba1 0.0015 0.0000 0.2545
Ba2 0.1683 0.5000 0.5794
Ba3 0.1687 0.5000 0.0875
Sb1 0.1652 0.0000 0.3298
Te1 0.0000 0.5000 0.0000
Cl1 0.0000 0.5000 0.5000
Cl2 0.1651 0.0000 0.8340
```

Properties
Theoretical density: 4.48 g/cm3
Uncorrected formation energy: -1.669 eV/atom

=====

The total magnetization results, record by record, are as follows: 0.00, 0.00, 0.00, 2.04, 0.00, 0.00 μB/cell.
The DOS(E_F) results, record by record, are as follows: 20.53, 3.00, 3.25, 3.46, 6.91, 7.25 states/eV/cell.
The E_tot results, record by record, are as follows: -4.022, -2.741, -5.641, -3.034, -2.938, -4.041 eV per atom.